(1)
Entry from the Alexandria database: a geometry-optimized OsPtF3 structure (PBE).

Lattice parameters (Å, degrees): 4.3457 4.3457 4.3457 90.00 90.00 90.00
Last column: nearest neighbours and their distance in Å.
Positions (direct):
1 Os 0.0000 0.0000 0.0000  12 F 3.07
2 Pt 0.5000 0.5000 0.5000  6 F 2.17
3 F 0.0000 0.5000 0.5000  2 Pt 2.17
4 F 0.5000 0.0000 0.5000  2 Pt 2.17
5 F 0.5000 0.5000 0.0000  2 Pt 2.17

Total moment = 4.74 μB/cell


(2)
Entry from the Alexandria database: a geometry-optimized OsPtF3 structure (PBE).

Lattice parameters (Å, degrees): 4.1624 4.1624 4.1624 90.00 90.00 90.00
Last column: nearest neighbours and their distance in Å.
Positions (direct):
1 Os 0.0000 0.0000 0.0000  6 F 2.08
2 Pt 0.5000 0.5000 0.5000  12 F 2.94
3 F 0.0000 0.0000 0.5000  2 Os 2.08
4 F 0.0000 0.5000 0.0000  2 Os 2.08
5 F 0.5000 0.0000 0.0000  2 Os 2.08

Total moment = 1.69 μB/cell


(3)
Entry from the Alexandria database: a geometry-optimized ReOs2PtF structure (PBE).

Lattice parameters (Å, degrees): 4.1167 4.1167 4.3819 90.00 90.00 90.00
Last column: nearest neighbours and their distance in Å.
Positions (direct):
1 Re 0.0000 0.0000 0.0000  4 Pt 2.91, 8 Os 3.01
2 Os 0.0000 0.5000 0.5000  2 F 2.06
3 Os 0.5000 0.0000 0.5000  2 F 2.06
4 Pt 0.5000 0.5000 0.0000  2 F 2.19
5 F 0.5000 0.5000 0.5000  4 Os 2.06, 2 Pt 2.19

Total moment = 1.08 μB/cell


(4)
Entry from the Alexandria database: a geometry-optimized Os2PtSF structure (PBE).

Lattice parameters (Å, degrees): 4.0491 4.0491 5.0398 90.00 90.00 90.00
Last column: nearest neighbours and their distance in Å.
Positions (direct):
1 Os 0.0000 0.5000 0.0000  2 F 2.02
2 Os 0.5000 0.0000 0.0000  2 F 2.02
3 Pt 0.0000 0.0000 0.5000  2 F 2.52
4 S 0.5000 0.5000 0.5000  4 Pt 2.86
5 F 0.0000 0.0000 0.0000  4 Os 2.02

Total moment = 3.60 μB/cell


(5)
Entry from the Alexandria database: a geometry-optimized TlOsPtF2 structure (PBE).

Lattice parameters (Å, degrees): 4.1503 4.1503 5.2736 90.00 90.00 90.00
Last column: nearest neighbours and their distance in Å.
Positions (direct):
1 Tl 0.0000 0.0000 0.0000  4 Os 2.93
2 Os 0.5000 0.5000 0.0000  2 Pt 2.64, 4 Tl 2.93
3 Pt 0.5000 0.5000 0.5000  4 F 2.08
4 F 0.0000 0.5000 0.5000  2 Pt 2.08
5 F 0.5000 0.0000 0.5000  2 Pt 2.08

Total moment = 1.91 μB/cell


(6)
Entry from the Alexandria database: a geometry-optimized Rb2OsF structure (PBE).

Lattice parameters (Å, degrees): 5.7697 5.7697 5.7697 60.00 60.00 60.00
Last column: nearest neighbours and their distance in Å.
Positions (direct):
1 Rb 0.2500 0.2500 0.2500  4 F 3.53, 4 Os 3.53
2 Rb 0.7500 0.7500 0.7500  4 Os 3.53, 4 F 3.53
3 Os 0.0000 0.0000 0.0000  8 Rb 3.53
4 F 0.5000 0.5000 0.5000  8 Rb 3.53

Total moment = 3.00 μB/cell


(7)
Entry from the Alexandria database: a geometry-optimized Rb2OsF7 structure (PBE).

Lattice parameters (Å, degrees): 7.8366 7.8366 10.4158 127.82 127.82 49.68
Last column: nearest neighbours and their distance in Å.
Positions (direct):
1 Rb 0.0115 0.6788 0.7680  8 F 2.79-3.11
2 Rb 0.3212 0.9885 0.7320  8 F 2.79-3.11
3 Rb 0.6788 0.0115 0.2680  8 F 2.79-3.11
4 Rb 0.9885 0.3212 0.2320  8 F 2.79-3.11
5 Os 0.2996 0.7004 0.2500  7 F 1.94-1.99
6 Os 0.7004 0.2996 0.7500  7 F 1.94-1.99
7 F 0.0262 0.1340 0.9015  1 Os 1.99
8 F 0.1340 0.0262 0.4015  1 Os 1.99
9 F 0.1945 0.5963 0.3127  1 Os 1.99
10 F 0.2417 0.4644 0.0165  1 Os 1.94
11 F 0.3986 0.6014 0.7500  1 Os 1.99
12 F 0.4037 0.8055 0.1873  1 Os 1.99
13 F 0.4644 0.2417 0.5165  1 Os 1.94
14 F 0.5356 0.7583 0.4835  1 Os 1.94
15 F 0.5963 0.1945 0.8127  1 Os 1.99
16 F 0.6014 0.3986 0.2500  1 Os 1.99
17 F 0.7583 0.5356 0.9835  1 Os 1.94
18 F 0.8055 0.4037 0.6873  1 Os 1.99
19 F 0.8660 0.9738 0.5985  1 Os 1.99
20 F 0.9738 0.8660 0.0985  1 Os 1.99

Total moment = 2.01 μB/cell


(8)
Entry from the Alexandria database: a geometry-optimized RbOs2F structure (PBE).

Lattice parameters (Å, degrees): 4.7543 4.7543 4.7543 60.00 60.00 60.00
Last column: nearest neighbours and their distance in Å.
Positions (direct):
1 Rb 0.0000 0.0000 0.0000  8 Os 2.91
2 Os 0.2500 0.2500 0.2500  4 F 2.91, 4 Rb 2.91
3 Os 0.7500 0.7500 0.7500  4 Rb 2.91, 4 F 2.91
4 F 0.5000 0.5000 0.5000  8 Os 2.91

Total moment = 4.69 μB/cell


(9)
Entry from the Alexandria database: a geometry-optimized Rb6OsF12 structure (PBE).

Lattice parameters (Å, degrees): 7.9685 7.9685 7.9685 99.61 99.61 99.61
Last column: nearest neighbours and their distance in Å.
Positions (direct):
1 Rb 0.0928 0.8325 0.6490  4 F 2.66-2.77
2 Rb 0.1675 0.3510 0.9072  4 F 2.66-2.77
3 Rb 0.3510 0.9072 0.1675  4 F 2.66-2.77
4 Rb 0.6490 0.0928 0.8325  4 F 2.66-2.77
5 Rb 0.8325 0.6490 0.0928  4 F 2.66-2.77
6 Rb 0.9072 0.1675 0.3510  4 F 2.66-2.77
7 Os 0.5000 0.5000 0.5000  6 F 1.92
8 F 0.0854 0.8972 0.3303  4 Rb 2.66-2.77
9 F 0.1028 0.6697 0.9146  4 Rb 2.66-2.77
10 F 0.2648 0.4217 0.5214  1 Os 1.92
11 F 0.3303 0.0854 0.8972  4 Rb 2.66-2.77
12 F 0.4217 0.5214 0.2648  1 Os 1.92
13 F 0.4786 0.7352 0.5783  1 Os 1.92
14 F 0.5214 0.2648 0.4217  1 Os 1.92
15 F 0.5783 0.4786 0.7352  1 Os 1.92
16 F 0.6697 0.9146 0.1028  4 Rb 2.66-2.77
17 F 0.7352 0.5783 0.4786  1 Os 1.92
18 F 0.8972 0.3303 0.0854  4 Rb 2.66-2.77
19 F 0.9146 0.1028 0.6697  4 Rb 2.66-2.77

Total moment = 4.13 μB/cell


(10)
Entry from the Alexandria database: a geometry-optimized Rb2OsF7 structure (PBE).

Lattice parameters (Å, degrees): 6.5514 6.5514 6.5514 60.00 60.00 60.00
Last column: nearest neighbours and their distance in Å.
Positions (direct):
1 Rb 0.2500 0.2500 0.2500  12 F 3.30
2 Rb 0.7500 0.7500 0.7500  12 F 3.30
3 Os 0.0000 0.0000 0.0000  6 F 1.93
4 F 0.2083 0.2083 0.7917  1 Os 1.93
5 F 0.2083 0.7917 0.2083  1 Os 1.93
6 F 0.2083 0.7917 0.7917  1 Os 1.93
7 F 0.5000 0.5000 0.5000  6 F 2.70
8 F 0.7917 0.2083 0.2083  1 Os 1.93
9 F 0.7917 0.2083 0.7917  1 Os 1.93
10 F 0.7917 0.7917 0.2083  1 Os 1.93

Total moment = 3.00 μB/cell


(11)
Entry from the Alexandria database: a geometry-optimized Rb2OsF structure (PBE).

Lattice parameters (Å, degrees): 7.2822 7.2822 7.2822 111.75 111.75 105.01
Last column: nearest neighbours and their distance in Å.
Positions (direct):
1 Rb 0.0345 0.6250 0.9095  2 F 2.66
2 Rb 0.3750 0.2845 0.4095  2 F 2.66
3 Rb 0.7155 0.1250 0.0905  2 F 2.66
4 Rb 0.8750 0.9655 0.5905  2 F 2.66
5 Os 0.2500 0.7500 0.5000  4 Rb 3.63
6 Os 0.5000 0.5000 0.0000  4 Rb 3.63
7 F 0.0000 0.0000 0.0000  4 Rb 2.66
8 F 0.7500 0.2500 0.5000  4 Rb 2.66

Total moment = 6.00 μB/cell


(12)
Entry from the Alexandria database: a geometry-optimized RbOs3F structure (PBE).

Lattice parameters (Å, degrees): 4.5381 4.5381 4.5381 90.00 90.00 90.00
Last column: nearest neighbours and their distance in Å.
Positions (direct):
1 Rb 0.0000 0.0000 0.0000  12 Os 3.21
2 Os 0.0000 0.5000 0.5000  2 F 2.27
3 Os 0.5000 0.0000 0.5000  2 F 2.27
4 Os 0.5000 0.5000 0.0000  2 F 2.27
5 F 0.5000 0.5000 0.5000  6 Os 2.27

Total moment = 5.04 μB/cell


Across the entries above, raw formation energy takes the values 0.543; 0.149; 1.538; 1.812; 0.138; 0.458; -2.194; 2.465; -2.316; -2.058; 0.223; 2.364 eV per atom, respectively.
Across the entries above, ρ takes the values 8.9; 10.2; 17.5; 12.6; 11.5; 4.6; 4.6; 10.6; 3.2; 4.1; 4.3; 12.0 Mg/m³, respectively.